[1]
First-principles (GGA-PBEsol) data for crystalline Cu4Pd at its relaxed geometry, as listed in the Alexandria database.

**Spin magnetization**: 0.00 μB per atom
**Electronic total energy**: -23.620 eV/f.u.
**ΔH_f (0 K)**: -0.065 eV/atom

Unit cell a=5.788 b=5.788 c=7.164 alpha=90.00 beta=90.00 gamma=90.00
Atoms (fractional coordinates):
Pd  0.398  0.207  0.000
Cu  0.097  0.297  0.751
Pd  0.207  0.602  0.500
Cu  0.097  0.297  0.249
Cu  0.903  0.703  0.249
Cu  0.192  0.604  0.000
Cu  0.396  0.192  0.500
Cu  0.500  0.500  0.250
Cu  0.297  0.903  0.251
Cu  0.703  0.097  0.749
Cu  0.604  0.808  0.500
Pd  0.602  0.793  0.000
Pd  0.793  0.398  0.500
Cu  0.297  0.903  0.749
Cu  0.000  0.000  0.500
Cu  0.000  0.000  0.000
Cu  0.703  0.097  0.251
Cu  0.808  0.396  0.000
Cu  0.903  0.703  0.751
Cu  0.500  0.500  0.750

***

[2]
First-principles (GGA-PBEsol) data for crystalline CdCoP4O12 at its relaxed geometry, as listed in the Alexandria database.

**Spin magnetization**: 0.17 μB per atom
**Electronic total energy**: -129.292 eV/f.u.
**Uncorrected formation energy**: -1.90 eV/atom

Unit cell a=7.418 b=7.418 c=9.772 alpha=97.83 beta=111.94 gamma=109.16
Last column: magnetic moment on the atom in μB.
Atoms (fractional coordinates):
O  0.530  0.623  0.325  0.04
O  0.470  0.377  0.675  0.04
O  0.960  0.766  0.948  0.01
O  0.801  0.685  0.654  0.04
O  0.966  0.961  0.178  0.00
P  0.808  0.769  0.028  0.00
P  0.993  0.808  0.801  0.01
O  0.199  0.315  0.346  0.04
P  0.493  0.808  0.301  0.01
O  0.202  0.795  0.825  0.04
Co  0.500  0.000  0.000  2.63
O  0.625  0.813  0.925  0.04
O  0.034  0.039  0.822  0.00
P  0.007  0.192  0.199  0.01
O  0.798  0.205  0.175  0.04
O  0.612  0.300  0.425  0.04
P  0.507  0.192  0.699  0.01
O  0.758  0.585  0.076  0.00
O  0.469  0.853  0.154  0.04
P  0.759  0.220  0.528  0.00
O  0.242  0.415  0.924  0.00
P  0.192  0.231  0.972  0.00
Co  0.500  0.500  0.500  2.63
O  0.682  0.988  0.448  0.01
O  0.388  0.700  0.575  0.04
O  0.283  0.788  0.322  0.00
O  0.375  0.187  0.075  0.04
Cd  0.299  0.549  0.750  0.00
O  0.990  0.317  0.576  0.00
O  0.318  0.012  0.552  0.01
O  0.717  0.212  0.678  0.00
O  0.010  0.683  0.424  0.00
Cd  0.701  0.451  0.250  0.00
O  0.040  0.234  0.052  0.01
P  0.241  0.780  0.472  0.00
O  0.531  0.147  0.846  0.04

***

[3]
First-principles (GGA-PBEsol) data for crystalline CaMg2Mn at its relaxed geometry, as listed in the Alexandria database.

**Spin magnetization**: 0.98 μB per atom
**Electronic total energy**: -14.139 eV/f.u.
**ΔH_f (0 K)**: 0.298 eV/atom

Unit cell a=5.030 b=5.030 c=5.030 alpha=60.00 beta=60.00 gamma=60.00
Last column: magnetic moment on the atom in μB.
Atoms (fractional coordinates):
Mg  0.750  0.750  0.750  -0.03
Ca  0.000  0.000  0.000  -0.04
Mg  0.250  0.250  0.250  -0.03
Mn  0.500  0.500  0.500  3.87

***

[4]
First-principles (GGA-PBEsol) data for crystalline ZnFeBr2 at its relaxed geometry, as listed in the Alexandria database.

**ΔE to the lowest computed polymorph**: 0.49 eV/f.u.
**Spin magnetization**: 0.94 μB per atom
**Electronic total energy**: -13.518 eV/f.u.
**Uncorrected formation energy**: 0.19 eV/atom

Unit cell a=3.447 b=3.607 c=9.160 alpha=90.00 beta=90.00 gamma=118.54
Last column: magnetic moment on the atom in μB.
Atoms (fractional coordinates):
Fe  0.500  0.000  0.500  3.31
Br  0.000  0.000  0.692  0.13
Zn  0.500  0.000  0.000  0.00
Br  0.000  0.000  0.308  0.13

***

[5]
First-principles (GGA-PBEsol) data for crystalline NbIrBr2 at its relaxed geometry, as listed in the Alexandria database.

**Spin magnetization**: 0.00 μB per atom
**Electronic total energy**: -20.838 eV/f.u.
**Uncorrected formation energy**: 0.89 eV/atom

Unit cell a=3.155 b=3.155 c=9.112 alpha=80.03 beta=80.03 gamma=60.00
Atoms (fractional coordinates):
Ir  0.500  0.500  0.500
Nb  0.000  0.000  0.000
Br  0.092  0.092  0.723
Br  0.908  0.908  0.277

***

[6]
First-principles (GGA-PBEsol) data for crystalline InTc2Se at its relaxed geometry, as listed in the Alexandria database.

**ΔE to the lowest computed polymorph**: 1.20 eV/f.u.
**Spin magnetization**: 0.00 μB per atom
**Electronic total energy**: -26.968 eV/f.u.
**Uncorrected formation energy**: 0.60 eV/atom

Unit cell a=4.517 b=4.517 c=4.517 alpha=60.00 beta=60.00 gamma=60.00
Atoms (fractional coordinates):
Se  0.750  0.750  0.750
Tc  0.000  0.000  0.000
In  0.500  0.500  0.500
Tc  0.250  0.250  0.250

***

[7]
First-principles (GGA-PBEsol) data for crystalline AsRhAuBr2 at its relaxed geometry, as listed in the Alexandria database.

**Spin magnetization**: 0.00 μB per atom
**Electronic total energy**: -18.477 eV/f.u.
**Uncorrected formation energy**: 0.49 eV/atom

Unit cell a=4.565 b=5.066 c=5.066 alpha=90.00 beta=90.00 gamma=90.00
Atoms (fractional coordinates):
Br  0.000  0.500  0.000
Au  0.500  0.500  0.500
Br  0.000  0.000  0.500
Rh  0.000  0.000  0.000
As  0.500  0.000  0.000

***

[8]
First-principles (GGA-PBEsol) data for crystalline Cd2IrRh at its relaxed geometry, as listed in the Alexandria database.

**Spin magnetization**: 0.29 μB per atom
**Electronic total energy**: -19.329 eV/f.u.
**ΔH_f (0 K)**: 0.257 eV/atom

Unit cell a=4.512 b=4.512 c=4.512 alpha=60.00 beta=60.00 gamma=60.00
Last column: magnetic moment on the atom in μB.
Atoms (fractional coordinates):
Rh  0.750  0.750  0.750  0.61
Cd  0.250  0.250  0.250  0.01
Cd  0.000  0.000  0.000  0.00
Ir  0.500  0.500  0.500  0.52

***

[9]
First-principles (GGA-PBEsol) data for crystalline YGaAu2 at its relaxed geometry, as listed in the Alexandria database.

**Spin magnetization**: 0.00 μB per atom
**Electronic total energy**: -20.727 eV/f.u.
**ΔH_f (0 K)**: -0.679 eV/atom

Unit cell a=4.762 b=4.762 c=4.762 alpha=60.00 beta=60.00 gamma=60.00
Atoms (fractional coordinates):
Au  0.750  0.750  0.750
Au  0.250  0.250  0.250
Ga  0.000  0.000  0.000
Y  0.500  0.500  0.500

***

[10]
First-principles (GGA-PBEsol) data for crystalline P3C at its relaxed geometry, as listed in the Alexandria database.

**ΔE to the lowest computed polymorph**: 3.68 eV/f.u.
**Spin magnetization**: 0.00 μB per atom
**Electronic total energy**: -21.007 eV/f.u.
**ΔH_f (0 K)**: 1.503 eV/atom

Unit cell a=2.876 b=4.020 c=4.020 alpha=90.00 beta=90.00 gamma=90.00
Atoms (fractional coordinates):
P  0.000  0.500  0.500
P  0.500  0.500  0.000
P  0.500  0.000  0.500
C  0.000  0.000  0.000

***

[11]
First-principles (GGA-PBEsol) data for crystalline Tb3ZnAu5 at its relaxed geometry, as listed in the Alexandria database.

**Spin magnetization**: 0.00 μB per atom
**Electronic total energy**: -43.553 eV/f.u.
**ΔH_f (0 K)**: -0.813 eV/atom

Unit cell a=7.358 b=8.278 c=13.215 alpha=90.00 beta=90.00 gamma=116.38
Atoms (fractional coordinates):
Tb  0.323  0.646  0.750
Au  0.687  0.944  0.895
Au  0.313  0.056  0.105
Tb  0.630  0.261  0.962
Zn  0.534  0.069  0.750
Zn  0.466  0.931  0.250
Zn  0.280  0.561  0.250
Tb  0.074  0.148  0.250
Au  0.743  0.056  0.395
Au  0.687  0.944  0.605
Au  0.313  0.056  0.395
Au  0.998  0.567  0.897
Au  0.318  0.254  0.750
Tb  0.630  0.261  0.538
Au  0.682  0.746  0.250
Au  0.257  0.944  0.605
Tb  0.370  0.739  0.038
Au  0.569  0.567  0.603
Au  0.002  0.433  0.103
Au  0.998  0.567  0.603
Tb  0.370  0.739  0.462
Au  0.002  0.433  0.397
Au  0.936  0.254  0.750
Au  0.064  0.746  0.250
Tb  0.118  0.237  0.550
Tb  0.882  0.763  0.050
Tb  0.926  0.852  0.750
Tb  0.677  0.354  0.250
Tb  0.882  0.763  0.450
Zn  0.720  0.439  0.750
Au  0.569  0.567  0.897
Au  0.431  0.433  0.103
Tb  0.118  0.237  0.950
Au  0.431  0.433  0.397
Au  0.257  0.944  0.895
Au  0.743  0.056  0.105

***

[12]
First-principles (GGA-PBEsol) data for crystalline ThNi2 at its relaxed geometry, as listed in the Alexandria database.

**Spin magnetization**: 0.00 μB per atom
**Electronic total energy**: -21.629 eV/f.u.
**ΔH_f (0 K)**: -0.402 eV/atom

Unit cell a=3.702 b=4.057 c=4.057 alpha=120.00 beta=90.00 gamma=90.00
Atoms (fractional coordinates):
Ni  0.500  0.667  0.333
Ni  0.500  0.333  0.667
Th  0.000  0.000  0.000

***

Which of these has the highest electronic total energy? ZnFeBr2